Pr12SmCd6: relaxed, PBE.

POSCAR file:
```
Pr12SmCd6
1.0
8.331 0.730 0.875
-0.541 8.345 0.875
-0.541 -0.631 8.367
Pr Cd Sm
12 6 1
Direct
0.430 0.808 0.531 Pr
0.613 0.954 0.846 Pr
0.387 0.046 0.154 Pr
0.570 0.192 0.469 Pr
0.469 0.570 0.192 Pr
0.046 0.154 0.387 Pr
0.846 0.613 0.954 Pr
0.954 0.846 0.613 Pr
0.808 0.531 0.430 Pr
0.531 0.430 0.808 Pr
0.192 0.469 0.570 Pr
0.154 0.387 0.046 Pr
0.114 0.740 0.263 Cd
0.737 0.886 0.260 Cd
0.263 0.114 0.740 Cd
0.886 0.260 0.737 Cd
0.740 0.263 0.114 Cd
0.260 0.737 0.886 Cd
0.000 0.000 0.000 Sm
```

Summary:
Theoretical density   7.0 g/cm³
Total DFT energy (no corrections)   -3.66 eV/atom
Energy of formation   -0.11 eV/atom
Volume   593.5 Å³/cell

=====

Mg3Sc: relaxed, PBE.

POSCAR file:
```
Mg3Sc
1.0
-4.984 -1.571 1.925
-3.085 -4.145 2.078
0.657 0.808 5.465
Sc Mg
1 3
Direct
0.000 0.000 0.000 Sc
0.246 0.246 0.253 Mg
0.754 0.754 0.747 Mg
0.500 0.500 0.500 Mg
```

Summary:
Theoretical density   2.1 g/cm³
Total DFT energy (no corrections)   -2.77 eV/atom
Energy of formation   0.01 eV/atom
Volume   93.1 Å³/cell